1.
Below is a PBEsol-optimized structure of Na2CrNiGe, with properties calculated at the SCAN level.

Results
Energy relative to the elements   1.04 eV per atom
Crystal system   tetragonal

a b c (Å): 5.2725 5.2725 4.2765
angles (deg): 90.00 90.00 90.00
Space group P4/mmm (No. 123)
Symmetry-distinct sites (fractional):
Na 0.0000 0.5000 0.0000
Cr 0.0000 0.0000 0.0000
Ni 0.0000 0.0000 0.5000
Ge 0.5000 0.5000 0.5000

2.
Below is a PBEsol-optimized structure of MnTl2As, with properties calculated at the SCAN level.

Results
Energy relative to the elements   0.07 eV per atom
Crystal system   orthorhombic

a b c (Å): 3.2139 4.8672 11.1866
angles (deg): 90.00 90.00 90.00
Space group Imm2 (No. 44)
Symmetry-distinct sites (fractional):
Mn 0.0000 0.0000 0.0000
Tl 0.0000 0.0000 0.5376
Tl 0.0000 0.5000 0.7397
As 0.0000 0.5000 0.3396

3.
Below is a PBEsol-optimized structure of Tm6ReO12, with properties calculated at the SCAN level.

Results
E_form (uncorrected)   -3559 meV per atom
Crystal system   trigonal

a b c (Å): 9.5703 9.5703 9.1045
angles (deg): 90.00 90.00 120.00
Space group R-3 (No. 148, hexagonal axes)
Symmetry-distinct sites (fractional):
Tm 0.0408 0.7864 0.1426
Re 0.0000 0.0000 0.5000
O 0.0320 0.8100 0.8993
O 0.0371 0.8498 0.3868

4.
Below is a PBEsol-optimized structure of CoPRh2, with properties calculated at the SCAN level.

Results
Energy relative to the elements   -0.18 eV per atom
Crystal system   tetragonal

a b c (Å): 2.7763 2.7763 6.4341
angles (deg): 90.00 90.00 90.00
Space group P4/mmm (No. 123)
Symmetry-distinct sites (fractional):
Co 0.0000 0.0000 0.0000
P 0.0000 0.0000 0.5000
Rh 0.5000 0.5000 0.2746

5.
Below is a PBEsol-optimized structure of SrVO3, with properties calculated at the SCAN level.

Results
E_form (uncorrected)   -3056 meV per atom
Crystal system   cubic

a b c (Å): 3.8138 3.8138 3.8138
angles (deg): 90.00 90.00 90.00
Space group Pm-3m (No. 221)
Symmetry-distinct sites (fractional):
Sr 0.0000 0.0000 0.0000
V 0.5000 0.5000 0.5000
O 0.0000 0.5000 0.5000

6.
Below is a PBEsol-optimized structure of ZrTl2Cl, with properties calculated at the SCAN level.

Results
E_form (uncorrected)   -660 meV per atom
Crystal system   trigonal

a b c (Å): 3.3037 3.3037 31.0143
angles (deg): 90.00 90.00 120.00
Space group R3m (No. 160, hexagonal axes)
Symmetry-distinct sites (fractional):
Zr 0.0000 0.0000 0.0000
Tl 0.0000 0.0000 0.2541
Tl 0.0000 0.0000 0.4991
Cl 0.0000 0.0000 0.7227

7.
Below is a PBEsol-optimized structure of Li3In, with properties calculated at the SCAN level.

Results
Energy relative to the elements   -0.24 eV per atom
Crystal system   orthorhombic

a b c (Å): 3.1354 3.7663 6.3222
angles (deg): 90.00 90.00 90.00
Space group Pmmm (No. 47)
Symmetry-distinct sites (fractional):
Li 0.0000 0.0000 0.0000
Li 0.5000 0.5000 0.2609
In 0.0000 0.0000 0.5000

8.
Below is a PBEsol-optimized structure of HgPt3, with properties calculated at the SCAN level.

Results
Energy relative to the elements   0.12 eV per atom
Crystal system   orthorhombic

a b c (Å): 2.8320 3.9225 5.7965
angles (deg): 90.00 90.00 90.00
Space group Pmmm (No. 47)
Symmetry-distinct sites (fractional):
Hg 0.0000 0.0000 0.0000
Pt 0.0000 0.0000 0.5000
Pt 0.5000 0.5000 0.2637

9.
Below is a PBEsol-optimized structure of Ta2AlSi, with properties calculated at the SCAN level.

Results
E_form (uncorrected)   -176 meV per atom
Crystal system   tetragonal

a b c (Å): 3.9590 3.9590 7.9796
angles (deg): 90.00 90.00 90.00
Space group I4/mmm (No. 139)
Symmetry-distinct sites (fractional):
Ta 0.0000 0.5000 0.2500
Al 0.0000 0.0000 0.0000
Si 0.0000 0.0000 0.5000

10.
Below is a PBEsol-optimized structure of BaCoTc2, with properties calculated at the SCAN level.

Results
Energy relative to the elements   1.48 eV per atom
Crystal system   tetragonal

a b c (Å): 3.6921 3.6921 5.2408
angles (deg): 90.00 90.00 90.00
Space group P4/mmm (No. 123)
Symmetry-distinct sites (fractional):
Ba 0.0000 0.0000 0.0000
Co 0.5000 0.5000 0.0000
Tc 0.0000 0.5000 0.5000

11.
Below is a PBEsol-optimized structure of Ba2CdOsPb, with properties calculated at the SCAN level.

Results
Energy relative to the elements   1.02 eV per atom
Crystal system   tetragonal

a b c (Å): 6.5231 6.5231 5.1943
angles (deg): 90.00 90.00 90.00
Space group P4/mmm (No. 123)
Symmetry-distinct sites (fractional):
Ba 0.0000 0.5000 0.0000
Cd 0.0000 0.0000 0.5000
Os 0.5000 0.5000 0.5000
Pb 0.0000 0.0000 0.0000

12.
Below is a PBEsol-optimized structure of Zr5Pb, with properties calculated at the SCAN level.

Results
Energy relative to the elements   -0.12 eV per atom
Crystal system   hexagonal

a b c (Å): 5.4931 5.4931 5.1279
angles (deg): 90.00 90.00 120.00
Space group P-62m (No. 189)
Symmetry-distinct sites (fractional):
Zr 0.0000 0.3252 0.0000
Zr 0.3333 0.6667 0.5000
Pb 0.0000 0.0000 0.5000